<1>
# Cr5Au PBE relaxed
# Magnetic moment in μB per cell: 0.000
# N(E_F) in states/eV/cell: 3.2
data_Cr5Au
_cell_length_a 4.8461
_cell_length_b 4.8461
_cell_length_c 3.9331
_cell_angle_alpha 90.00
_cell_angle_beta 90.00
_cell_angle_gamma 120.00
_symmetry_space_group_name_H-M 'P 1'
_symmetry_Int_Tables_number 1
loop_
_symmetry_equiv_pos_as_xyz
'x,y,z'
loop_
_atom_site_label
_atom_site_type_symbol
_atom_site_fract_x
_atom_site_fract_y
_atom_site_fract_z
Cr1 Cr 0.0000 0.5000 0.0000
Cr2 Cr 0.3333 0.6667 0.5000
Cr3 Cr 0.5000 0.0000 0.0000
Cr4 Cr 0.5000 0.5000 0.0000
Cr5 Cr 0.6667 0.3333 0.5000
Au1 Au 0.0000 0.0000 0.5000

<2>
# Cr5Au PBE relaxed
# Magnetic moment in μB per cell: 4.335
# N(E_F) in states/eV/cell: 9.6
data_Cr5Au
_cell_length_a 4.2261
_cell_length_b 3.0097
_cell_length_c 12.5554
_cell_angle_alpha 90.00
_cell_angle_beta 90.00
_cell_angle_gamma 90.00
_symmetry_space_group_name_H-M 'P 1'
_symmetry_Int_Tables_number 1
loop_
_symmetry_equiv_pos_as_xyz
'x,y,z'
loop_
_atom_site_label
_atom_site_type_symbol
_atom_site_fract_x
_atom_site_fract_y
_atom_site_fract_z
Cr1 Cr 0.0000 0.0000 0.0000
Cr2 Cr 0.0000 0.0000 0.3152
Cr3 Cr 0.0000 0.0000 0.6489
Cr4 Cr 0.0000 0.5000 0.1489
Cr5 Cr 0.0000 0.5000 0.5000
Cr6 Cr 0.0000 0.5000 0.8152
Cr7 Cr 0.5000 0.0000 0.1580
Cr8 Cr 0.5000 0.0000 0.7975
Cr9 Cr 0.5000 0.5000 0.2975
Cr10 Cr 0.5000 0.5000 0.6580
Au1 Au 0.5000 0.0000 0.4732
Au2 Au 0.5000 0.5000 0.9732

In meV per atom, relative to the most stable structure: <1> 174; <2> 0.

<1>
# Cr4Au PBE relaxed
# Magnetic moment in μB per cell: 0.000
# N(E_F) in states/eV/cell: 14.0
data_Cr4Au
_cell_length_a 6.5899
_cell_length_b 6.5899
_cell_length_c 2.9603
_cell_angle_alpha 90.00
_cell_angle_beta 90.00
_cell_angle_gamma 90.00
_symmetry_space_group_name_H-M 'P 1'
_symmetry_Int_Tables_number 1
loop_
_symmetry_equiv_pos_as_xyz
'x,y,z'
loop_
_atom_site_label
_atom_site_type_symbol
_atom_site_fract_x
_atom_site_fract_y
_atom_site_fract_z
Cr1 Cr 0.1164 0.6753 0.0000
Cr2 Cr 0.1753 0.3836 0.5000
Cr3 Cr 0.3247 0.1164 0.0000
Cr4 Cr 0.3836 0.8247 0.5000
Cr5 Cr 0.6164 0.1753 0.5000
Cr6 Cr 0.6753 0.8836 0.0000
Cr7 Cr 0.8247 0.6164 0.5000
Cr8 Cr 0.8836 0.3247 0.0000
Au1 Au 0.0000 0.0000 0.5000
Au2 Au 0.5000 0.5000 0.0000

<2>
# Cr4Au PBE relaxed
# Magnetic moment in μB per cell: 17.442
# N(E_F) in states/eV/cell: 5.3
data_Cr4Au
_cell_length_a 4.9939
_cell_length_b 4.9939
_cell_length_c 4.9939
_cell_angle_alpha 90.00
_cell_angle_beta 90.00
_cell_angle_gamma 90.00
_symmetry_space_group_name_H-M 'P 1'
_symmetry_Int_Tables_number 1
loop_
_symmetry_equiv_pos_as_xyz
'x,y,z'
loop_
_atom_site_label
_atom_site_type_symbol
_atom_site_fract_x
_atom_site_fract_y
_atom_site_fract_z
Cr1 Cr 0.0000 0.0000 0.0000
Cr2 Cr 0.0000 0.5000 0.5000
Cr3 Cr 0.5000 0.0000 0.5000
Cr4 Cr 0.5000 0.5000 0.0000
Au1 Au 0.5000 0.5000 0.5000

In meV per atom, relative to the most stable structure: <1> 0; <2> 1379.

<1>
# CrAu8 PBE relaxed
# Magnetic moment in μB per cell: 4.441
# N(E_F) in states/eV/cell: 4.4
data_CrAu8
_cell_length_a 8.1667
_cell_length_b 8.1667
_cell_length_c 8.1667
_cell_angle_alpha 91.67
_cell_angle_beta 91.67
_cell_angle_gamma 160.36
_symmetry_space_group_name_H-M 'P 1'
_symmetry_Int_Tables_number 1
loop_
_symmetry_equiv_pos_as_xyz
'x,y,z'
loop_
_atom_site_label
_atom_site_type_symbol
_atom_site_fract_x
_atom_site_fract_y
_atom_site_fract_z
Cr1 Cr 0.0000 0.0000 0.0000
Au1 Au 0.0000 0.3422 0.3422
Au2 Au 0.0000 0.6579 0.6579
Au3 Au 0.1676 0.1676 0.3352
Au4 Au 0.1676 0.8324 0.0000
Au5 Au 0.3422 0.0000 0.3422
Au6 Au 0.6579 0.0000 0.6579
Au7 Au 0.8324 0.1676 0.0000
Au8 Au 0.8324 0.8324 0.6648

<2>
# CrAu8 PBE relaxed
# Magnetic moment in μB per cell: 4.419
# N(E_F) in states/eV/cell: 3.8
data_CrAu8
_cell_length_a 6.5750
_cell_length_b 6.5750
_cell_length_c 6.5750
_cell_angle_alpha 95.59
_cell_angle_beta 95.59
_cell_angle_gamma 143.62
_symmetry_space_group_name_H-M 'P 1'
_symmetry_Int_Tables_number 1
loop_
_symmetry_equiv_pos_as_xyz
'x,y,z'
loop_
_atom_site_label
_atom_site_type_symbol
_atom_site_fract_x
_atom_site_fract_y
_atom_site_fract_z
Cr1 Cr 0.0000 0.0000 0.0000
Au1 Au 0.0000 0.3303 0.3303
Au2 Au 0.0000 0.6697 0.6697
Au3 Au 0.3303 0.0000 0.3303
Au4 Au 0.3370 0.3370 0.6741
Au5 Au 0.3370 0.6630 0.0000
Au6 Au 0.6630 0.3370 0.0000
Au7 Au 0.6630 0.6630 0.3259
Au8 Au 0.6697 0.0000 0.6697

In meV per atom, relative to the most stable structure: <1> 249; <2> 0.

<1>
# CsCrAu3 PBE relaxed
# Magnetic moment in μB per cell: 4.596
# N(E_F) in states/eV/cell: 8.9
data_CsCrAu3
_cell_length_a 6.0368
_cell_length_b 6.0368
_cell_length_c 6.0368
_cell_angle_alpha 90.00
_cell_angle_beta 90.00
_cell_angle_gamma 90.00
_symmetry_space_group_name_H-M 'P 1'
_symmetry_Int_Tables_number 1
loop_
_symmetry_equiv_pos_as_xyz
'x,y,z'
loop_
_atom_site_label
_atom_site_type_symbol
_atom_site_fract_x
_atom_site_fract_y
_atom_site_fract_z
Cs1 Cs 0.0000 0.0000 0.0000
Cr1 Cr 0.5000 0.5000 0.5000
Au1 Au 0.0000 0.0000 0.5000
Au2 Au 0.0000 0.5000 0.0000
Au3 Au 0.5000 0.0000 0.0000

<2>
# CsCrAu3 PBE relaxed
# Magnetic moment in μB per cell: 4.004
# N(E_F) in states/eV/cell: 5.1
data_CsCrAu3
_cell_length_a 5.2564
_cell_length_b 5.2564
_cell_length_c 5.2564
_cell_angle_alpha 90.00
_cell_angle_beta 90.00
_cell_angle_gamma 90.00
_symmetry_space_group_name_H-M 'P 1'
_symmetry_Int_Tables_number 1
loop_
_symmetry_equiv_pos_as_xyz
'x,y,z'
loop_
_atom_site_label
_atom_site_type_symbol
_atom_site_fract_x
_atom_site_fract_y
_atom_site_fract_z
Cs1 Cs 0.0000 0.0000 0.0000
Cr1 Cr 0.5000 0.5000 0.5000
Au1 Au 0.0000 0.5000 0.5000
Au2 Au 0.5000 0.0000 0.5000
Au3 Au 0.5000 0.5000 0.0000

In meV per atom, relative to the most stable structure: <1> 1339; <2> 0.

<1>
# CsLa2CrAu PBE relaxed
# Magnetic moment in μB per cell: 3.642
# N(E_F) in states/eV/cell: 6.5
data_CsLa2CrAu
_cell_length_a 5.9193
_cell_length_b 5.9193
_cell_length_c 5.4091
_cell_angle_alpha 90.00
_cell_angle_beta 90.00
_cell_angle_gamma 90.00
_symmetry_space_group_name_H-M 'P 1'
_symmetry_Int_Tables_number 1
loop_
_symmetry_equiv_pos_as_xyz
'x,y,z'
loop_
_atom_site_label
_atom_site_type_symbol
_atom_site_fract_x
_atom_site_fract_y
_atom_site_fract_z
Cs1 Cs 0.0000 0.0000 0.0000
La1 La 0.0000 0.5000 0.5000
La2 La 0.5000 0.0000 0.5000
Cr1 Cr 0.5000 0.5000 0.0000
Au1 Au 0.5000 0.5000 0.5000

<2>
# CsLa2CrAu PBE relaxed
# Magnetic moment in μB per cell: 3.599
# N(E_F) in states/eV/cell: 4.3
data_CsLa2CrAu
_cell_length_a 5.8516
_cell_length_b 5.8516
_cell_length_c 4.9484
_cell_angle_alpha 90.00
_cell_angle_beta 90.00
_cell_angle_gamma 90.00
_symmetry_space_group_name_H-M 'P 1'
_symmetry_Int_Tables_number 1
loop_
_symmetry_equiv_pos_as_xyz
'x,y,z'
loop_
_atom_site_label
_atom_site_type_symbol
_atom_site_fract_x
_atom_site_fract_y
_atom_site_fract_z
Cs1 Cs 0.0000 0.0000 0.0000
La1 La 0.0000 0.5000 0.0000
La2 La 0.5000 0.0000 0.0000
Cr1 Cr 0.0000 0.0000 0.5000
Au1 Au 0.5000 0.5000 0.5000

In meV per atom, relative to the most stable structure: <1> 0; <2> 945.

<1>
# CrCuAu PBE relaxed
# Magnetic moment in μB per cell: 6.947
# N(E_F) in states/eV/cell: 7.0
data_CrCuAu
_cell_length_a 3.2786
_cell_length_b 3.2786
_cell_length_c 8.4381
_cell_angle_alpha 90.00
_cell_angle_beta 90.00
_cell_angle_gamma 90.00
_symmetry_space_group_name_H-M 'P 1'
_symmetry_Int_Tables_number 1
loop_
_symmetry_equiv_pos_as_xyz
'x,y,z'
loop_
_atom_site_label
_atom_site_type_symbol
_atom_site_fract_x
_atom_site_fract_y
_atom_site_fract_z
Cr1 Cr 0.0000 0.0000 0.0000
Cr2 Cr 0.5000 0.5000 0.5000
Cu1 Cu 0.0000 0.0000 0.6572
Cu2 Cu 0.5000 0.5000 0.1572
Au1 Au 0.0000 0.0000 0.3275
Au2 Au 0.5000 0.5000 0.8275

<2>
# CrCuAu PBE relaxed
# Magnetic moment in μB per cell: 4.046
# N(E_F) in states/eV/cell: 2.5
data_CrCuAu
_cell_length_a 4.3591
_cell_length_b 4.3591
_cell_length_c 2.8386
_cell_angle_alpha 90.00
_cell_angle_beta 90.00
_cell_angle_gamma 120.00
_symmetry_space_group_name_H-M 'P 1'
_symmetry_Int_Tables_number 1
loop_
_symmetry_equiv_pos_as_xyz
'x,y,z'
loop_
_atom_site_label
_atom_site_type_symbol
_atom_site_fract_x
_atom_site_fract_y
_atom_site_fract_z
Cr1 Cr 0.0000 0.0000 0.0000
Cu1 Cu 0.6667 0.3333 0.3131
Au1 Au 0.3333 0.6667 0.5871

<3>
# CrCuAu PBE relaxed
# Magnetic moment in μB per cell: 17.097
# N(E_F) in states/eV/cell: 5.2
data_CrCuAu
_cell_length_a 5.9629
_cell_length_b 5.9629
_cell_length_c 5.9629
_cell_angle_alpha 90.00
_cell_angle_beta 90.00
_cell_angle_gamma 90.00
_symmetry_space_group_name_H-M 'P 1'
_symmetry_Int_Tables_number 1
loop_
_symmetry_equiv_pos_as_xyz
'x,y,z'
loop_
_atom_site_label
_atom_site_type_symbol
_atom_site_fract_x
_atom_site_fract_y
_atom_site_fract_z
Cr1 Cr 0.0000 0.0000 0.0000
Cr2 Cr 0.0000 0.5000 0.5000
Cr3 Cr 0.5000 0.0000 0.5000
Cr4 Cr 0.5000 0.5000 0.0000
Cu1 Cu 0.2500 0.2500 0.7500
Cu2 Cu 0.2500 0.7500 0.2500
Cu3 Cu 0.7500 0.2500 0.2500
Cu4 Cu 0.7500 0.7500 0.7500
Au1 Au 0.0000 0.0000 0.5000
Au2 Au 0.0000 0.5000 0.0000
Au3 Au 0.5000 0.0000 0.0000
Au4 Au 0.5000 0.5000 0.5000

In meV per atom, relative to the most stable structure: <1> 0; <2> 80; <3> 204.